1.
SbHNO2 | PBE-GGA | relaxed

**Symmetry**: No. 123
**Electronic total energy**: -4.5739 eV per atom

Cell lengths 3.880, 3.880, 4.339 Å; angles 90.00, 90.00, 90.00 degrees
Element x y z (fractional)
Sb 0.000 0.000 0.000
H 0.500 0.500 0.500
N 0.000 0.000 0.500
O 0.000 0.500 0.000
O 0.500 0.000 0.000

=====

2.
SbHNO2 | PBE-GGA | relaxed

**Symmetry**: No. 123
**Electronic total energy**: -4.3305 eV per atom

Cell lengths 4.042, 4.042, 2.831 Å; angles 90.00, 90.00, 90.00 degrees
Element x y z (fractional)
Sb 0.000 0.000 0.000
H 0.500 0.500 0.500
N 0.500 0.500 0.000
O 0.000 0.500 0.500
O 0.500 0.000 0.500

=====

3.
Sc4HN2O | PBE-GGA | relaxed

**Symmetry**: No. 139
**Electronic total energy**: -8.0465 eV per atom

Cell lengths 5.525, 5.525, 5.525 Å; angles 131.83, 131.83, 70.49 degrees
Element x y z (fractional)
Sc 0.000 0.500 0.500
Sc 0.240 0.240 0.000
Sc 0.500 0.000 0.500
Sc 0.760 0.760 0.000
H 0.500 0.500 0.000
N 0.250 0.750 0.500
N 0.750 0.250 0.500
O 0.000 0.000 0.000

=====

4.
ScHN2O | PBE-GGA | relaxed

**Symmetry**: No. 123
**Electronic total energy**: -5.3068 eV per atom

Cell lengths 4.521, 4.521, 3.980 Å; angles 90.00, 90.00, 90.00 degrees
Element x y z (fractional)
Sc 0.000 0.000 0.000
H 0.500 0.500 0.500
N 0.000 0.500 0.000
N 0.500 0.000 0.000
O 0.000 0.000 0.500

=====

5.
Sc6HN3O2 | PBE-GGA | relaxed

**Symmetry**: No. 12
**Electronic total energy**: -8.4225 eV per atom

Cell lengths 7.081, 7.081, 6.395 Å; angles 102.89, 102.89, 26.14 degrees
Element x y z (fractional)
Sc 0.001 0.001 0.234
Sc 0.329 0.329 0.420
Sc 0.335 0.335 0.908
Sc 0.665 0.665 0.092
Sc 0.671 0.671 0.580
Sc 0.999 0.999 0.766
H 0.500 0.500 0.500
N 0.167 0.167 0.334
N 0.500 0.500 0.000
N 0.833 0.833 0.666
O 0.167 0.167 0.835
O 0.833 0.833 0.165

=====

6.
Sc6H2N3O | PBE-GGA | relaxed

**Symmetry**: No. 12
**Electronic total energy**: -7.8489 eV per atom

Cell lengths 5.556, 5.556, 5.532 Å; angles 99.82, 99.82, 119.78 degrees
Element x y z (fractional)
Sc 0.089 0.410 0.771
Sc 0.234 0.234 0.237
Sc 0.410 0.089 0.771
Sc 0.590 0.911 0.229
Sc 0.766 0.766 0.763
Sc 0.911 0.590 0.229
H 0.335 0.665 0.500
H 0.665 0.335 0.500
N 0.168 0.832 0.000
N 0.500 0.500 0.000
N 0.832 0.168 0.000
O 0.000 0.000 0.500

=====

7.
Sc8HN3O3 | PBE-GGA | relaxed

**Symmetry**: No. 166
**Electronic total energy**: -8.2485 eV per atom

Cell lengths 6.396, 6.396, 6.396 Å; angles 59.59, 59.59, 59.59 degrees
Element x y z (fractional)
Sc 0.243 0.752 0.752
Sc 0.244 0.244 0.244
Sc 0.248 0.248 0.757
Sc 0.248 0.757 0.248
Sc 0.752 0.243 0.752
Sc 0.752 0.752 0.243
Sc 0.756 0.756 0.756
Sc 0.757 0.248 0.248
H 0.500 0.500 0.500
N 0.000 0.000 0.500
N 0.000 0.500 0.000
N 0.500 0.000 0.000
O 0.000 0.500 0.500
O 0.500 0.000 0.500
O 0.500 0.500 0.000

=====

8.
ScHN2O | PBE-GGA | relaxed

**Symmetry**: No. 123
**Electronic total energy**: -6.1634 eV per atom

Cell lengths 2.949, 2.949, 4.813 Å; angles 90.00, 90.00, 90.00 degrees
Element x y z (fractional)
Sc 0.000 0.000 0.000
H 0.500 0.500 0.500
N 0.000 0.500 0.500
N 0.500 0.000 0.500
O 0.500 0.500 0.000

=====

Which value of electronic total energy does entry 5 give?
-8.4225 eV per atom